Entry 1:
{"formula": "FeCuAs", "functional": "PBE", "state": "optimized geometry", "sg": "No. 107", "e_form_kj_per_mol_atoms": 16, "vol_a3_per_atom": 13.2, "cell": [[4.6670, -0.1375, -0.0009], [2.7162, 3.7976, 0.0009], [-3.6912, -1.8309, 2.1961]], "species": ["Fe", "Cu", "As"], "fractional_positions": [[0.6534, 0.6534, 0.0000], [0.3308, 0.3308, 0.0000], [0.0157, 0.0157, 0.0000]]}

Entry 2:
{"formula": "TlMoS3", "functional": "PBE", "state": "optimized geometry", "sg": "No. 14", "e_form_raw_ev_per_atom": -0.379, "polymorph_energy_ev_per_atom": 0.000, "vol_a3_per_atom": 23.1, "cell": [[5.8051, 0.0000, 0.0000], [0.0000, 9.0934, -0.0070], [0.0000, -2.9613, 8.7427]], "species": ["Tl", "Tl", "Tl", "Tl", "S", "S", "S", "S", "S", "S", "S", "S", "S", "S", "S", "S", "Mo", "Mo", "Mo", "Mo"], "fractional_positions": [[0.0165, 0.4023, 0.7973], [0.5165, 0.5977, 0.7027], [0.4835, 0.4023, 0.2973], [0.9835, 0.5977, 0.2027], [0.5892, 0.8112, 0.3882], [0.0892, 0.1888, 0.1118], [0.1212, 0.6988, 0.5332], [0.8788, 0.3012, 0.4668], [0.6212, 0.3012, 0.9668], [0.9108, 0.8112, 0.8882], [0.4300, 0.9366, 0.8040], [0.0700, 0.9366, 0.3040], [0.5700, 0.0634, 0.1960], [0.9300, 0.0634, 0.6960], [0.3788, 0.6988, 0.0332], [0.4108, 0.1888, 0.6118], [0.2631, 0.9320, 0.5146], [0.7631, 0.0680, 0.9854], [0.2369, 0.9320, 0.0146], [0.7369, 0.0680, 0.4854]]}

Entry 3:
{"formula": "PrInPt", "functional": "PBE", "state": "optimized geometry", "sg": "No. 189", "e_form_kj_per_mol_atoms": -91, "vol_a3_per_atom": 23.7, "cell": [[4.0497, 0.0000, 0.0000], [0.0000, 7.8039, 0.0000], [0.0000, -3.9020, 6.7584]], "species": ["Pt", "Pt", "Pt", "Pr", "Pr", "Pr", "In", "In", "In"], "fractional_positions": [[0.0000, 0.0000, 0.0000], [0.5000, 0.6667, 0.3333], [0.5000, 0.3333, 0.6667], [0.0000, 0.4099, 0.4099], [0.0000, 0.5901, 0.0000], [0.0000, 0.0000, 0.5901], [0.5000, 0.7465, 0.7465], [0.5000, 0.2535, 0.0000], [0.5000, 0.0000, 0.2535]]}

Entry 4:
{"formula": "RbNb3H", "functional": "PBE", "state": "optimized geometry", "sg": "No. 221", "polymorph_energy_ev_per_atom": 0.000, "vol_a3_per_atom": 17.8, "cell": [[-3.1633, -2.9319, -1.1461], [2.7963, -3.3633, 0.8862], [-1.4460, -0.0900, 4.2211]], "species": ["Rb", "Nb", "Nb", "Nb", "H"], "fractional_positions": [[0.5000, 0.5000, 0.5000], [0.5000, 0.0000, 0.0000], [0.0000, 0.5000, 0.0000], [0.0000, 0.0000, 0.5000], [0.0000, 0.0000, 0.0000]]}

Entry 5:
{"formula": "CeHo2UN4", "functional": "PBE", "state": "optimized geometry", "sg": "No. 119", "e_form_raw_ev_per_atom": -1.559, "vol_a3_per_atom": 14.8, "cell": [[4.9179, 0.0025, 0.0000], [-0.0025, 4.9179, 0.0000], [-2.4577, -2.4602, 4.9059]], "species": ["Ho", "Ho", "Ce", "U", "N", "N", "N", "N"], "fractional_positions": [[0.2500, 0.7500, 0.5000], [0.0000, 0.0000, 0.0000], [0.5000, 0.5000, 0.0000], [0.7500, 0.2500, 0.5000], [0.7528, 0.7528, 0.5055], [0.2472, 0.2472, 0.4945], [0.5148, 0.0148, 0.0297], [0.9852, 0.4852, 0.9703]]}

Entry 6:
{"formula": "Sn2Au2Se", "functional": "PBE", "state": "optimized geometry", "sg": "No. 127", "e_form_raw_ev_per_atom": -0.051, "polymorph_energy_ev_per_atom": 0.027, "vol_a3_per_atom": 23.1, "cell": [[7.6459, 0.0000, 0.0000], [0.0000, 7.6459, 0.0000], [0.0000, 0.0000, 3.9474]], "species": ["Sn", "Sn", "Sn", "Sn", "Se", "Se", "Au", "Au", "Au", "Au"], "fractional_positions": [[0.6694, 0.8306, 0.5000], [0.3306, 0.1694, 0.5000], [0.1694, 0.6694, 0.5000], [0.8306, 0.3306, 0.5000], [0.0000, 0.0000, 0.0000], [0.5000, 0.5000, 0.0000], [0.6320, 0.1320, 0.0000], [0.3680, 0.8680, 0.0000], [0.1320, 0.3680, 0.0000], [0.8680, 0.6320, 0.0000]]}

Entry 7:
{"formula": "Mg3CrGe", "functional": "PBE", "state": "optimized geometry", "sg": "No. 221", "polymorph_energy_ev_per_atom": 0.164, "e_form_kj_per_mol_atoms": 99, "vol_a3_per_atom": 24.4, "cell": [[4.9593, 0.0000, 0.0000], [0.0000, 4.9593, 0.0000], [0.0000, 0.0000, 4.9593]], "species": ["Mg", "Mg", "Mg", "Ge", "Cr"], "fractional_positions": [[0.5000, 0.0000, 0.0000], [0.0000, 0.0000, 0.5000], [0.0000, 0.5000, 0.0000], [0.0000, 0.0000, 0.0000], [0.5000, 0.5000, 0.5000]]}

Entry 8:
{"formula": "AcSm4Cd", "functional": "PBE", "state": "optimized geometry", "sg": "No. 123", "polymorph_energy_ev_per_atom": 0.000, "e_form_kj_per_mol_atoms": -8, "vol_a3_per_atom": 33.6, "cell": [[-0.4744, -0.5643, 3.6736], [-0.5966, -3.6438, -0.6368], [14.0502, -2.5490, 1.4228]], "species": ["Ac", "Cd", "Sm", "Sm", "Sm", "Sm"], "fractional_positions": [[0.0000, 0.0000, 0.0000], [0.5000, 0.5000, 0.5000], [0.0000, 0.0000, 0.6390], [0.5000, 0.5000, 0.1890], [0.0000, 0.0000, 0.3610], [0.5000, 0.5000, 0.8110]]}

Entry 9:
{"formula": "Th3FeGe", "functional": "PBE", "state": "optimized geometry", "sg": "No. 12", "polymorph_energy_ev_per_atom": 0.047, "e_form_kj_per_mol_atoms": -32, "vol_a3_per_atom": 25.4, "cell": [[-3.4194, 1.9537, 0.6562], [-0.2741, -1.9904, -7.6533], [-3.7013, -7.1571, 2.0216]], "species": ["Th", "Th", "Th", "Th", "Th", "Th", "Fe", "Fe", "Ge", "Ge"], "fractional_positions": [[0.2726, 0.5774, 0.0126], [0.0620, 0.1574, 0.4048], [0.4102, 0.8545, 0.6699], [0.6335, 0.2995, 0.7516], [0.7716, 0.5767, 0.4089], [0.9822, 0.9968, 0.0168], [0.2230, 0.4802, 0.6257], [0.8201, 0.6738, 0.7959], [0.4151, 0.8628, 0.2814], [0.6295, 0.2914, 0.1402]]}

Entry 10:
{"formula": "RbSnF3", "functional": "PBE", "state": "optimized geometry", "sg": "No. 14", "e_form_raw_ev_per_atom": -2.508, "vol_a3_per_atom": 21.5, "cell": [[21.9636, 0.0000, 2.9039], [0.0000, 6.2410, 0.0000], [-7.0679, 0.0000, 2.1999]], "species": ["F", "F", "F", "F", "F", "F", "F", "F", "F", "F", "F", "F", "Rb", "Rb", "Rb", "Rb", "Sn", "Sn", "Sn", "Sn"], "fractional_positions": [[0.1956, 0.5503, 0.9710], [0.8044, 0.4497, 0.0290], [0.7218, 0.0829, 0.1739], [0.6956, 0.9497, 0.4710], [0.3044, 0.0503, 0.5290], [0.9408, 0.2223, 0.0116], [0.7782, 0.5829, 0.3261], [0.2218, 0.4171, 0.6739], [0.4408, 0.2777, 0.5116], [0.0592, 0.7777, 0.9884], [0.5592, 0.7223, 0.4884], [0.2782, 0.9171, 0.8261], [0.9780, 0.7449, 0.1424], [0.0220, 0.2551, 0.8576], [0.4780, 0.7551, 0.6424], [0.5220, 0.2449, 0.3576], [0.7867, 0.7538, 0.1036], [0.2867, 0.7462, 0.6036], [0.2133, 0.2462, 0.8964], [0.7133, 0.2538, 0.3964]]}

Entry 11:
{"formula": "AcPm4Tl2", "functional": "PBE", "state": "optimized geometry", "sg": "No. 12", "polymorph_energy_ev_per_atom": 0.000, "e_form_kj_per_mol_atoms": 8, "vol_a3_per_atom": 34.8, "cell": [[6.2254, 1.7776, -1.7491], [0.8392, 5.9643, -2.9492], [-0.6974, -2.8560, 8.2844]], "species": ["Pm", "Pm", "Pm", "Pm", "Tl", "Tl", "Ac"], "fractional_positions": [[0.2425, 0.7425, 0.5000], [0.5000, 0.0000, 0.0000], [0.0000, 0.5000, 0.0000], [0.7575, 0.2575, 0.5000], [0.5843, 0.6830, 0.2672], [0.4157, 0.3170, 0.7328], [0.0000, 0.0000, 0.0000]]}

Entry 12:
{"formula": "SmHfO", "functional": "PBE", "state": "optimized geometry", "sg": "No. 38", "e_form_raw_ev_per_atom": -1.370, "vol_a3_per_atom": 18.3, "cell": [[-0.4754, 0.8343, 3.1128], [2.8604, -1.2458, -0.9338], [4.0297, 11.0012, -2.3332]], "species": ["Hf", "Hf", "Sm", "Sm", "O", "O"], "fractional_positions": [[0.2774, 0.5548, 0.8742], [0.2774, 0.5548, 0.1258], [0.6115, 0.2231, 0.6387], [0.6115, 0.2231, 0.3613], [0.6104, 0.2208, 0.0000], [0.2783, 0.5567, 0.5000]]}

Entry 13:
{"formula": "K3Na3Ca", "functional": "PBE", "state": "optimized geometry", "sg": "No. 223", "e_form_kj_per_mol_atoms": 40, "vol_a3_per_atom": 67.9, "cell": [[-2.6787, 8.1848, -4.7409], [4.5741, -3.1920, -8.0951], [-8.2792, -4.4117, -2.9385]], "species": ["Na", "Na", "Na", "Na", "Na", "Na", "K", "K", "K", "K", "K", "K", "Ca", "Ca"], "fractional_positions": [[0.5000, 0.0000, 0.2500], [0.0000, 0.2500, 0.5000], [0.0000, 0.7500, 0.5000], [0.7500, 0.5000, 0.0000], [0.5000, 0.0000, 0.7500], [0.2500, 0.5000, 0.0000], [0.7500, 0.0000, 0.5000], [0.5000, 0.7500, 0.0000], [0.2500, 0.0000, 0.5000], [0.5000, 0.2500, 0.0000], [0.0000, 0.5000, 0.2500], [0.0000, 0.5000, 0.7500], [0.0000, 0.0000, 0.0000], [0.5000, 0.5000, 0.5000]]}

Entry 14:
{"formula": "Pu2US3", "functional": "PBE", "state": "optimized geometry", "sg": "No. 12", "e_form_raw_ev_per_atom": -1.598, "polymorph_energy_ev_per_atom": 0.000, "vol_a3_per_atom": 21.2, "cell": [[6.6616, -0.0111, -1.1120], [-3.5812, 5.6171, -1.1120], [0.0002, 0.0004, 6.8145]], "species": ["S", "S", "S", "S", "S", "S", "Pu", "Pu", "Pu", "Pu", "U", "U"], "fractional_positions": [[0.5850, 0.9183, 0.7518], [0.0817, 0.4150, 0.2482], [0.4164, 0.0853, 0.2484], [0.9147, 0.5836, 0.7516], [0.2503, 0.2480, 0.7516], [0.7520, 0.7497, 0.2484], [0.3333, 0.6667, 0.0000], [0.8333, 0.1667, 0.5000], [0.4985, 0.5015, 0.5000], [0.1682, 0.8318, 0.5000], [0.6675, 0.3325, 0.0000], [0.9992, 0.0008, 0.0000]]}

Entry 15:
{"formula": "DyTm2Pd", "functional": "PBE", "state": "optimized geometry", "sg": "No. 123", "polymorph_energy_ev_per_atom": 0.051, "e_form_kj_per_mol_atoms": -42, "vol_a3_per_atom": 26.0, "cell": [[-2.6390, 1.4986, -1.8106], [-1.5638, -3.1518, -0.3295], [-4.1286, 1.3063, 7.0989]], "species": ["Tm", "Tm", "Dy", "Pd"], "fractional_positions": [[0.0000, 0.0000, 0.8013], [0.0000, 0.0000, 0.1987], [0.5000, 0.5000, 0.5000], [0.5000, 0.5000, 0.0000]]}

Entry 16:
{"formula": "KSiPt", "functional": "PBE", "state": "optimized geometry", "sg": "No. 71", "e_form_raw_ev_per_atom": -0.114, "polymorph_energy_ev_per_atom": 0.342, "vol_a3_per_atom": 34.6, "cell": [[5.4831, 0.0000, 0.0000], [0.0000, 5.2321, 0.0000], [-2.7415, -2.6161, 7.2317]], "species": ["K", "K", "Pt", "Pt", "Si", "Si"], "fractional_positions": [[0.6349, 0.1349, 0.2698], [0.3651, 0.8651, 0.7302], [0.7315, 0.5000, 0.0000], [0.2685, 0.5000, 0.0000], [0.8789, 0.3789, 0.7578], [0.1211, 0.6211, 0.2422]]}

Entry 17:
{"formula": "NbP2CSe", "functional": "PBE", "state": "optimized geometry", "sg": "No. 123", "e_form_raw_ev_per_atom": 0.840, "vol_a3_per_atom": 14.9, "cell": [[3.9880, 0.0000, 0.0000], [0.0000, 4.6755, 0.0000], [0.0000, 0.0000, 3.9880]], "species": ["P", "P", "Se", "Nb", "C"], "fractional_positions": [[0.5000, 0.0000, 0.0000], [0.0000, 0.0000, 0.5000], [0.5000, 0.5000, 0.5000], [0.0000, 0.5000, 0.0000], [0.0000, 0.0000, 0.0000]]}

Entry 18:
{"formula": "Dy8CoRu2", "functional": "PBE", "state": "optimized geometry", "sg": "No. 8", "e_form_kj_per_mol_atoms": -15, "vol_a3_per_atom": 26.2, "cell": [[5.8911, -0.0013, -1.0297], [-1.9995, 6.6340, -2.8543], [-0.1931, -0.1887, 7.4888]], "species": ["Ru", "Ru", "Dy", "Dy", "Dy", "Dy", "Dy", "Dy", "Dy", "Dy", "Co"], "fractional_positions": [[0.4734, 0.6946, 0.3154], [0.4734, 0.3154, 0.6946], [0.9944, 0.7956, 0.2048], [0.5861, 0.3495, 0.0875], [0.5861, 0.0875, 0.3495], [0.7969, 0.6446, 0.6446], [0.1781, 0.3550, 0.3550], [0.9944, 0.2048, 0.7956], [0.3805, 0.9249, 0.6672], [0.3805, 0.6672, 0.9249], [0.1559, 0.9948, 0.9948]]}

Entry 19:
{"formula": "LiFeIr2Se", "functional": "PBE", "state": "optimized geometry", "sg": "No. 123", "e_form_raw_ev_per_atom": 0.794, "vol_a3_per_atom": 18.8, "cell": [[4.6140, 0.0000, 0.0000], [0.0000, 4.6140, 0.0000], [0.0000, 0.0000, 4.4122]], "species": ["Li", "Ir", "Ir", "Fe", "Se"], "fractional_positions": [[0.5000, 0.5000, 0.5000], [0.0000, 0.5000, 0.0000], [0.5000, 0.0000, 0.0000], [0.0000, 0.0000, 0.5000], [0.0000, 0.0000, 0.0000]]}

Entry 20:
{"formula": "La2RuCl", "functional": "PBE", "state": "optimized geometry", "sg": "No. 47", "e_form_raw_ev_per_atom": -0.691, "polymorph_energy_ev_per_atom": 0.318, "vol_a3_per_atom": 23.9, "cell": [[4.8530, 0.0000, 0.0000], [0.0000, 5.6739, 0.0000], [0.0000, 0.0000, 3.4682]], "species": ["Cl", "La", "La", "Ru"], "fractional_positions": [[0.0000, 0.5000, 0.5000], [0.5000, 0.5000, 0.0000], [0.0000, 0.0000, 0.0000], [0.5000, 0.0000, 0.5000]]}